A relaxed Tm6PS3N2 crystal, computed with GGA-PBE.

Calculated values
Uncorrected formation energy   -21.850 eV/f.u.
V   219.53 Å³/cell

POSCAR file:
```
Tm6PS3N2
1.0
3.677 0.000 0.000
0.000 7.548 0.168
-1.839 -2.278 7.858
S Tm N P
3 6 2 1
direct
0.837 0.169 0.674 S
0.500 0.500 0.000 S
0.163 0.831 0.326 S
0.678 0.563 0.356 Tm
0.322 0.437 0.644 Tm
0.670 0.119 0.339 Tm
0.330 0.881 0.661 Tm
0.017 0.258 0.034 Tm
0.983 0.742 0.966 Tm
0.171 0.339 0.342 N
0.829 0.661 0.658 N
0.500 0.000 0.000 P
```